Record 1
TiInNi | the Alexandria database | PBE-GGA | relaxed; formation energy from the elements = -177 meV per atom; density of states at the Fermi level = 5.48 states/eV per cell; symmetry = C2/m, No. 12
1.0
3.9060 -0.7570 -0.0256
0.7556 3.9063 -0.0256
0.0408 0.0275 6.5984
In Ni Ti
2 2 2
Cartesian
3.5132 2.3735 2.3450 In
1.1892 0.8034 4.2022 In
3.5265 2.3824 5.0372 Ni
1.1759 0.7944 1.5100 Ni
3.1183 0.4090 -0.0256 Ti
1.5433 2.7403 -0.0256 Ti

Record 2
BaY2Mn | the Alexandria database | PBE-GGA | relaxed; E above lowest polymorph = 90.9 kJ/mol of formula units; formation energy from the elements = 446 meV per atom; density of states at the Fermi level = 4.75 states/eV per cell; symmetry = R3m, No. 160
1.0
11.3639 0.0854 0.0503
10.7408 3.7122 0.0503
10.7408 1.8453 3.2215
Ba Mn Y
1 1 2
Cartesian
16.0521 2.7578 1.6235 Ba
24.4070 4.1931 2.4685 Mn
0.3388 0.0582 0.0343 Y
8.4705 1.4552 0.8567 Y

Record 3
BaScOs2 | the Alexandria database | PBE-GGA | relaxed; E above lowest polymorph = 161.9 kJ/mol of formula units; formation energy from the elements = 553 meV per atom; density of states at the Fermi level = 3.46 states/eV per cell; symmetry = C2/m, No. 12
1.0
-1.1050 3.9343 2.3040
-1.2002 1.5278 4.2701
6.3498 1.4288 2.0565
Ba Os Sc
1 2 1
Cartesian
3.0334 5.1683 6.4729 Ba
-1.6565 5.5140 6.6689 Os
1.3736 3.3937 4.2204 Os
1.0111 1.7228 2.1576 Sc

Record 4
ZnTeMo3 | the Alexandria database | PBE-GGA | relaxed; E above lowest polymorph = 136.1 kJ/mol of formula units; E_form (uncorrected) = 1.876 eV per atom; density of states at the Fermi level = 6.04 states/eV per cell; symmetry = Pm-3m, No. 221
1.0
4.8827 0.0000 0.0000
0.0000 4.8827 0.0000
0.0000 0.0000 4.8827
Mo Te Zn
3 1 1
Cartesian
0.0000 2.4413 0.0000 Mo
0.0000 0.0000 2.4413 Mo
2.4413 0.0000 0.0000 Mo
0.0000 0.0000 0.0000 Te
2.4413 2.4413 2.4413 Zn

Record 5
LiEuCd4 | the Alexandria database | PBE-GGA | relaxed; formation energy from the elements = -224 meV per atom; density of states at the Fermi level = 10.28 states/eV per cell; symmetry = F-43m, No. 216
1.0
-2.5055 4.4879 3.0019
-4.1802 -1.1200 4.0867
1.2090 0.7569 5.7789
Eu Li Cd
1 1 4
Cartesian
-1.3692 1.0312 3.2169 Eu
0.0000 0.0000 0.0000 Li
-4.0328 2.2001 5.1475 Cd
-1.3271 3.1424 5.9970 Cd
-3.4258 2.5801 8.0487 Cd
-2.1679 0.3270 6.5417 Cd

Record 6
ZrAl2Co | the Alexandria database | PBE-GGA | relaxed; formation energy from the elements = -552 meV per atom; density of states at the Fermi level = 23.31 states/eV per cell; symmetry = Pnma, No. 62
1.0
-0.9454 1.0786 -4.9630
3.7222 -5.2233 -1.8442
-11.9060 -8.6236 0.3938
Zr Al Co
8 16 8
Cartesian
-1.1869 -2.0370 -2.6640 Zr
-2.3771 -5.9771 -5.9823 Zr
-7.9423 -10.7313 -3.7494 Zr
-6.7520 -6.7912 -0.4311 Zr
-4.4487 -3.9012 -3.9675 Zr
1.2957 -4.5818 -2.5209 Zr
-4.6805 -8.8671 -2.4458 Zr
-10.4249 -8.1865 -3.8925 Zr
-3.2387 -1.0814 -4.7477 Al
-0.3229 -6.9352 -3.8865 Al
-7.3590 -9.6261 -0.9381 Al
-7.3376 -7.8938 -3.2544 Al
-5.8904 -11.6869 -1.6657 Al
-8.8062 -5.8330 -2.5268 Al
-1.7702 -3.1422 -5.4753 Al
-1.7915 -4.8745 -3.1589 Al
0.9089 -2.3963 -4.7078 Al
-4.0783 -6.0679 -1.8670 Al
-11.5126 -8.3027 -0.9750 Al
-3.5763 -8.7696 -5.2770 Al
-10.0380 -10.3719 -1.7056 Al
-5.0509 -6.7004 -4.5464 Al
2.3835 -4.4656 -5.4384 Al
-5.5529 -3.9986 -1.1364 Al
-3.1028 -3.8517 -1.3911 Co
-0.0033 -4.6847 -4.8513 Co
-6.0264 -8.9166 -5.0222 Co
-9.1259 -8.0836 -1.5620 Co
-0.8519 -0.8499 -5.3501 Co
-2.7794 -7.0873 -3.6497 Co
-8.2772 -11.9184 -1.0633 Co
-6.3497 -5.6810 -2.7636 Co

Record 7
InMo2As | the Alexandria database | PBE-GGA | relaxed; E above lowest polymorph = 0.0 kJ/mol of formula units; formation energy from the elements = 34 meV per atom; density of states at the Fermi level = 1.88 states/eV per cell; symmetry = P4mm, No. 99
1.0
-1.1444 2.9603 -0.8168
-1.0734 0.4310 3.0663
5.8086 2.7018 1.6536
Mo As In
2 1 1
Cartesian
0.1752 0.0815 0.0499 Mo
0.4066 2.4006 1.5562 Mo
2.5907 1.2050 0.7375 As
3.3226 3.7569 2.3863 In

Record 8
Ge2TeN2 | the Alexandria database | PBE-GGA | relaxed; E_form (uncorrected) = 0.139 eV per atom; symmetry = Cmc2_1, No. 36
1.0
2.9533 -6.3550 0.0000
2.9533 6.3550 0.0000
0.0000 0.0000 5.3093
Ge Te N
4 2 4
Cartesian
2.0705 -2.4550 2.0230 Ge
2.0705 2.4550 2.0230 Ge
3.8361 2.4550 4.6776 Ge
3.8361 -2.4550 4.6776 Ge
4.5350 0.0000 0.0518 Te
1.3717 0.0000 2.7065 Te
2.2800 -3.0109 3.8019 N
2.2800 3.0109 3.8019 N
3.6267 3.0109 1.1473 N
3.6267 -3.0109 1.1473 N

Record 9
PmSiNiIr | the Alexandria database | PBE-GGA | relaxed; E_form (uncorrected) = -0.523 eV per atom; density of states at the Fermi level = 1.98 states/eV per cell; symmetry = Imm2, No. 44
1.0
-0.6174 3.7710 1.0459
-2.9511 0.3037 -2.8369
-1.4238 -3.4463 4.0819
Pm Si Ni Ir
1 1 1 1
Cartesian
-4.7974 0.7139 2.0973 Pm
-2.9073 -0.4770 0.0037 Si
-2.1144 -0.9286 2.1001 Ni
-2.3811 1.7752 -0.3026 Ir

Record 10
CaCoSi3 | the Alexandria database | PBE-GGA | relaxed; E_form (uncorrected) = 0.037 eV per atom; density of states at the Fermi level = 4.50 states/eV per cell; symmetry = Pm-3m, No. 221
1.0
4.4798 0.0000 0.0000
0.0000 4.4798 0.0000
0.0000 0.0000 4.4798
Ca Co Si
1 1 3
Cartesian
2.2399 2.2399 2.2399 Ca
0.0000 0.0000 0.0000 Co
0.0000 2.2399 0.0000 Si
0.0000 0.0000 2.2399 Si
2.2399 0.0000 0.0000 Si

Record 11
ZrSe2NF | the Alexandria database | PBE-GGA | relaxed; E above lowest polymorph = 245.9 kJ/mol of formula units; E_form (uncorrected) = 0.533 eV per atom; density of states at the Fermi level = 2.17 states/eV per cell; symmetry = P4/mmm, No. 123
1.0
4.4871 0.0000 0.0000
0.0000 4.4871 0.0000
0.0000 0.0000 3.9872
N Se Zr F
1 2 1 1
Cartesian
0.0000 0.0000 1.9936 N
0.0000 2.2436 0.0000 Se
2.2436 0.0000 0.0000 Se
2.2436 2.2436 1.9936 Zr
0.0000 0.0000 0.0000 F

Record 12
Na3Hg11 | the Alexandria database | PBE-GGA | relaxed; formation energy from the elements = -130 meV per atom; density of states at the Fermi level = 3.85 states/eV per cell; symmetry = Immm, No. 71
1.0
-2.9242 -1.6142 3.2085
2.6447 -9.0201 1.2152
5.0040 0.2802 8.0445
Na Hg
3 11
Cartesian
0.0000 0.0000 0.0000 Na
4.5019 -6.6191 7.4587 Na
0.2225 -3.7350 5.0095 Na
4.9824 -7.3763 10.8586 Hg
3.0018 -5.1902 10.1533 Hg
4.3936 -9.6977 9.1540 Hg
2.7722 -3.5610 7.4208 Hg
2.6803 -1.3885 5.0872 Hg
3.8243 -4.3699 4.6299 Hg
2.0441 -8.9656 7.3811 Hg
1.9523 -6.7930 5.0475 Hg
0.3309 -0.6564 3.3142 Hg
1.7226 -5.1639 2.3149 Hg
-0.2580 -2.9777 1.6096 Hg

Record 13
CaNd3Tm6 | the Alexandria database | PBE-GGA | relaxed; formation energy from the elements = 245 meV per atom; density of states at the Fermi level = 14.32 states/eV per cell; symmetry = C2/m, No. 12
1.0
6.3328 0.0000 -2.5703
-1.1440 5.0834 -2.8185
0.1177 2.4290 9.3766
Ca Nd Tm
1 3 6
Cartesian
2.5944 2.5417 -2.6944 Ca
4.0291 1.2176 0.8404 Nd
1.2774 6.2948 3.1474 Nd
0.0000 0.0000 0.0000 Nd
1.9443 3.8510 0.4604 Tm
0.0472 3.6614 4.8729 Tm
3.3622 3.6614 3.5275 Tm
5.2593 3.8510 -0.8851 Tm
1.1148 1.4173 2.7468 Tm
4.1917 6.0952 1.2411 Tm

Record 14
AlSI2O | the Alexandria database | PBE-GGA | relaxed; E above lowest polymorph = 0.0 kJ/mol of formula units; E_form (uncorrected) = -0.388 eV per atom; density of states at the Fermi level = 3.77 states/eV per cell; symmetry = P4/mmm, No. 123
1.0
-3.4860 -1.8918 -4.2428
4.6388 -1.7017 -3.0526
-0.1455 -3.0541 1.4814
I S Al O
2 1 1 1
Cartesian
2.3194 -0.8508 -1.5263 I
-1.7430 -0.9459 -2.1214 I
0.5036 -3.3238 -2.9070 S
0.0000 0.0000 0.0000 Al
-0.0728 -1.5270 0.7407 O

Record 15
PmNd2Tm3Sb6 | the Alexandria database | PBE-GGA | relaxed; E_form (uncorrected) = -1.123 eV per atom; density of states at the Fermi level = 1.92 states/eV per cell; symmetry = C2/m, No. 12
1.0
4.4291 0.0000 0.0000
0.0000 8.8388 0.3305
-2.2146 -2.5314 9.3010
Pm Nd Tm Sb
1 2 3 6
Cartesian
2.2146 0.0000 0.0000 Pm
2.2146 4.2075 6.4252 Nd
0.0000 2.0999 3.2063 Nd
2.2146 4.4194 0.1653 Tm
2.2146 -0.2126 6.2513 Tm
0.0000 6.5199 3.3803 Tm
0.0000 6.4920 6.4650 Sb
2.2146 4.3856 3.2449 Sb
2.2146 -0.1847 3.1666 Sb
2.2146 -0.2581 9.3306 Sb
0.0000 6.5654 0.3009 Sb
0.0000 1.9218 6.3866 Sb

Record 16
LaErMo | the Alexandria database | PBE-GGA | relaxed; formation energy from the elements = 672 meV per atom; density of states at the Fermi level = 6.81 states/eV per cell; symmetry = Fmmm, No. 69
1.0
-4.7874 -0.3460 -2.8595
-3.5668 -2.8011 0.8523
-5.6682 5.4574 3.3712
La Mo Er
2 2 2
Cartesian
-8.2081 1.0687 -0.0329 La
-5.8144 1.2417 1.3969 La
-5.1568 -1.1734 -2.1410 Mo
-3.1975 -1.9736 0.1338 Mo
-7.4656 4.2592 1.0673 Er
-2.9899 0.8522 -0.5555 Er

Record 17
Ca2Pr3Nd4 | the Alexandria database | PBE-GGA | relaxed; formation energy from the elements = 53 meV per atom; density of states at the Fermi level = 13.78 states/eV per cell; symmetry = P-1, No. 2
1.0
-2.4699 5.9436 -0.4718
-8.3181 -3.1926 4.1800
13.2907 2.0815 -0.2045
Ca Pr Nd
2 3 4
Cartesian
6.0930 1.5126 1.5957 Ca
-3.5902 3.3198 1.9080 Ca
-1.1051 1.0279 3.3650 Pr
0.0000 0.0000 0.0000 Pr
3.6079 3.8046 0.1386 Pr
2.4525 1.2165 2.4567 Nd
0.0503 3.6160 1.0470 Nd
9.7520 1.8300 0.6829 Nd
-7.2492 3.0024 2.8208 Nd

Record 18
Zr5Ge4 | the Alexandria database | PBE-GGA | relaxed; formation energy from the elements = -850 meV per atom; density of states at the Fermi level = 22.07 states/eV per cell; symmetry = P4_12_12, No. 92
1.0
7.2858 0.0000 0.0000
0.0000 7.2858 0.0000
0.0000 0.0000 13.2523
Zr Ge
20 16
Cartesian
6.0391 1.2467 9.9393 Zr
1.2467 6.0391 3.3131 Zr
4.8897 4.8897 6.6262 Zr
2.3962 2.3962 0.0000 Zr
7.2784 2.5059 7.0291 Zr
0.0075 4.7799 0.4030 Zr
6.1488 3.6504 3.7160 Zr
1.1370 3.6355 10.3422 Zr
4.7799 0.0075 12.8494 Zr
2.5059 7.2784 6.2232 Zr
3.6504 6.1488 9.5363 Zr
3.6355 1.1370 2.9101 Zr
3.6566 2.5202 8.2575 Zr
3.6292 4.7657 1.6313 Zr
6.1631 7.2721 4.9444 Zr
1.1228 0.0137 11.5706 Zr
4.7657 3.6292 11.6210 Zr
2.5202 3.6566 4.9948 Zr
7.2721 6.1631 8.3079 Zr
0.0137 1.1228 1.6817 Zr
4.6704 2.1805 5.5897 Ge
2.6154 5.1053 12.2159 Ge
5.8234 6.2583 2.2766 Ge
1.4624 1.0275 8.9028 Ge
5.1053 2.6154 1.0365 Ge
2.1805 4.6704 7.6627 Ge
6.2583 5.8234 10.9757 Ge
1.0275 1.4624 4.3496 Ge
5.0772 0.2789 7.5052 Ge
2.2086 7.0069 0.8791 Ge
3.9218 5.8515 4.1922 Ge
3.3640 1.4343 10.8183 Ge
7.0069 2.2086 12.3733 Ge
0.2789 5.0772 5.7471 Ge
5.8515 3.9218 9.0602 Ge
1.4343 3.3640 2.4340 Ge

Record 19
BaLaTaZnO6 | the Alexandria database | PBE-GGA | relaxed; E_form (uncorrected) = -2.711 eV per atom; density of states at the Fermi level = 0.00 states/eV per cell; symmetry = F-43m, No. 216
1.0
-1.3157 -4.9646 2.6347
-4.0631 -3.4526 -2.2115
1.4861 -5.0295 -2.4117
Ba La Ta Zn O
1 1 1 1 6
Cartesian
-0.9732 -3.3617 -0.4971 Ba
-2.9195 -10.0851 -1.4913 La
-1.9463 -6.7234 -0.9942 Ta
0.0000 0.0000 0.0000 Zn
-2.9783 -5.1289 -1.5876 O
-3.6196 -7.5491 -0.3032 O
-1.6389 -5.8660 0.7749 O
-2.2538 -7.5807 -2.7633 O
-0.2730 -5.8976 -1.6852 O
-0.9144 -8.3178 -0.4008 O

Record 20
CdSbPb4 | the Alexandria database | PBE-GGA | relaxed; E_form (uncorrected) = 0.278 eV per atom; density of states at the Fermi level = 4.62 states/eV per cell; symmetry = F-43m, No. 216
1.0
0.0000 4.5934 4.5934
4.5934 0.0000 4.5934
4.5934 4.5934 0.0000
Cd Sb Pb
1 1 4
Cartesian
0.0000 0.0000 0.0000 Cd
6.8901 6.8901 6.8901 Sb
3.4413 5.7454 5.7454 Pb
5.7454 5.7454 3.4413 Pb
5.7454 3.4413 5.7454 Pb
3.4413 3.4413 3.4413 Pb

Ordered ρ results: 7.0; 4.7; 10.0; 6.9; 6.8; 5.3; 8.9; 5.0; 9.1; 3.4; 5.8; 9.8; 7.0; 4.8; 7.5; 8.0; 5.5; 7.1; 7.6; 9.1; unit g/cm3.
Ordered E results: -5.649; -5.559; -7.126; -5.506; -2.866; -6.336; -7.229; -5.667; -6.727; -5.039; -4.610; -0.650; -4.068; -3.574; -5.493; -6.102; -4.104; -7.651; -7.683; -3.033; unit eV per atom.